Density functional theory data (PBE+U) for a geometry-optimized CsHoCoO3 structure.

The space-group type is P2_1/m. The total energy is -36.923 eV/f.u. The value obtained for the magnetization is 1.00 μB/f.u.

abc: 3.655 7.980 9.135
angles: 114.38 90.00 90.00
Site moments in Bohr magnetons follow the coordinates.
Element x y z (fractional)
Cs 0.250 0.218 0.211  0.00
Cs 0.750 0.782 0.789  0.00
Ho 0.250 0.671 0.137  0.00
Ho 0.750 0.329 0.863  0.00
Co 0.250 0.038 0.627  0.99
Co 0.750 0.962 0.373  0.99
O 0.750 0.862 0.146  0.02
O 0.250 0.138 0.854  0.02
O 0.250 0.925 0.392  0.00
O 0.750 0.075 0.608  0.00
O 0.750 0.485 0.125  0.00
O 0.250 0.515 0.875  0.00